# 1
The following is a PBE-GGA calculation of crystalline AlCrRe at its relaxed geometry, from the Alexandria database.

```
data_AlCrRe
_cell_length_a 4.2090
_cell_length_b 4.2090
_cell_length_c 2.6603
_cell_angle_alpha 90.00
_cell_angle_beta 90.00
_cell_angle_gamma 120.00
_symmetry_space_group_name_H-M 'P 3 m 1'
_symmetry_Int_Tables_number 156
loop_
_symmetry_equiv_pos_as_xyz
'x,y,z'
'-y,x-y,z'
'-x+y,-x,z'
'-y,-x,z'
'-x+y,y,z'
'x,x-y,z'
loop_
_atom_site_label
_atom_site_type_symbol
_atom_site_fract_x
_atom_site_fract_y
_atom_site_fract_z
Al1 Al 0.0000 0.0000 0.0000
Cr1 Cr 0.6667 0.3333 0.3400
Re1 Re 0.3333 0.6667 0.5978
```

Output
For the final energy, the calculation gives -8.723 eV/atom. The formation energy comes out at -0.118 eV/atom. The value obtained for the density of states at the Fermi level is 2.3 states/eV per cell.

# 2
The following is a PBE-GGA calculation of crystalline CaGeSeN2 at its relaxed geometry, from the Alexandria database.

```
data_CaGeSeN2
_cell_length_a 4.480
_cell_length_b 4.480
_cell_length_c 5.777
_cell_angle_alpha 90.00
_cell_angle_beta 90.00
_cell_angle_gamma 90.00
_symmetry_space_group_name_H-M 'P 4/m m m'
_symmetry_Int_Tables_number 123
_symmetry_space_group_name_Hall '-P 4 2'
loop_
_atom_site_label
_atom_site_type_symbol
_atom_site_fract_x
_atom_site_fract_y
_atom_site_fract_z
Ca1 Ca 0.000 0.000 0.000
Ge1 Ge 0.500 0.500 0.500
Se1 Se 0.000 0.000 0.500
N1 N 0.000 0.500 0.000
```

Output
For the final energy, the calculation gives -4.117 eV/atom. The value obtained for the uncorrected formation energy is 595 kJ/mol of formula units. The value obtained for the density of states at the Fermi level is 1.5 states/eV per cell.

# 3
The following is a PBE-GGA calculation of crystalline YLuScAl at its relaxed geometry, from the Alexandria database.

```
data_YLuScAl
_cell_length_a 7.351
_cell_length_b 7.351
_cell_length_c 7.351
_cell_angle_alpha 90.00
_cell_angle_beta 90.00
_cell_angle_gamma 90.00
_symmetry_space_group_name_H-M 'F -4 3 m'
_symmetry_Int_Tables_number 216
_symmetry_space_group_name_Hall 'F -4 2 3'
loop_
_atom_site_label
_atom_site_type_symbol
_atom_site_fract_x
_atom_site_fract_y
_atom_site_fract_z
Y1 Y 0.000 0.000 0.000
Lu1 Lu 0.000 0.000 0.500
Sc1 Sc 0.250 0.250 0.750
Al1 Al 0.250 0.250 0.250
```

Output
For the final energy, the calculation gives -5.371 eV/atom. The formation energy comes out at -0.106 eV/atom. The value obtained for the density of states at the Fermi level is 20.0 states/eV per cell.

# 4
The following is a PBE-GGA calculation of crystalline SrCaAlZn at its relaxed geometry, from the Alexandria database.

```
data_SrCaAlZn
_cell_length_a 7.656
_cell_length_b 7.656
_cell_length_c 7.656
_cell_angle_alpha 90.00
_cell_angle_beta 90.00
_cell_angle_gamma 90.00
_symmetry_space_group_name_H-M 'F -4 3 m'
_symmetry_Int_Tables_number 216
_symmetry_space_group_name_Hall 'F -4 2 3'
loop_
_atom_site_label
_atom_site_type_symbol
_atom_site_fract_x
_atom_site_fract_y
_atom_site_fract_z
Sr1 Sr 0.000 0.000 0.000
Ca1 Ca 0.000 0.000 0.500
Al1 Al 0.250 0.250 0.250
Zn1 Zn 0.250 0.250 0.750
```

Output
For the final energy, the calculation gives -2.342 eV/atom. The formation energy comes out at -0.167 eV/atom. The value obtained for the density of states at the Fermi level is 13.3 states/eV per cell.

# 5
The following is a PBE-GGA calculation of crystalline U2ReGe at its relaxed geometry, from the Alexandria database.

```
data_U2ReGe
_cell_length_a 3.706
_cell_length_b 3.706
_cell_length_c 5.689
_cell_angle_alpha 90.00
_cell_angle_beta 90.00
_cell_angle_gamma 90.00
_symmetry_space_group_name_H-M 'P 4/m m m'
_symmetry_Int_Tables_number 123
_symmetry_space_group_name_Hall '-P 4 2'
loop_
_atom_site_label
_atom_site_type_symbol
_atom_site_fract_x
_atom_site_fract_y
_atom_site_fract_z
U1 U 0.000 0.000 0.236
Re1 Re 0.500 0.500 0.500
Ge1 Ge 0.500 0.500 0.000
```

Output
For the final energy, the calculation gives -9.974 eV/atom. The formation energy comes out at -0.064 eV/atom. The value obtained for the density of states at the Fermi level is 7.0 states/eV per cell.

# 6
The following is a PBE-GGA calculation of crystalline PuMnGa4 at its relaxed geometry, from the Alexandria database.

```
data_PuMnGa4
_cell_length_a 4.194
_cell_length_b 15.632
_cell_length_c 6.554
_cell_angle_alpha 90.00
_cell_angle_beta 90.00
_cell_angle_gamma 90.00
_symmetry_space_group_name_H-M 'C m c m'
_symmetry_Int_Tables_number 63
_symmetry_space_group_name_Hall '-C 2c 2'
loop_
_atom_site_label
_atom_site_type_symbol
_atom_site_fract_x
_atom_site_fract_y
_atom_site_fract_z
Pu1 Pu 0.000 0.121 0.250
Mn1 Mn 0.000 0.230 0.750
Ga1 Ga 0.000 0.070 0.750
Ga2 Ga 0.000 0.322 0.053
Ga3 Ga 0.000 0.500 0.000
```

Output
For the final energy, the calculation gives -6.214 eV/atom. The formation energy comes out at -0.279 eV/atom. The value obtained for the density of states at the Fermi level is 26.2 states/eV per cell.